Density functional theory data (PBE) for Ti5Be2Ge after structural relaxation.

a b c (Å): 7.237 7.237 7.237
angles (deg): 126.20 126.20 79.57
Element x y z (fractional)
Ti  0.000  0.000  0.000
Ti  0.018  0.518  0.828
Ti  0.189  0.018  0.500
Ti  0.311  0.811  0.828
Ti  0.482  0.311  0.500
Ti  0.500  0.500  0.000
Ti  0.518  0.689  0.500
Ti  0.689  0.189  0.172
Ti  0.811  0.982  0.500
Ti  0.982  0.482  0.172
Be  0.123  0.377  0.500
Be  0.377  0.877  0.254
Be  0.623  0.123  0.746
Be  0.877  0.623  0.500
Ge  0.250  0.250  0.000
Ge  0.750  0.750  0.000

Summary:
Magnetic moment = 3.9 μB/f.u.
Formation enthalpy at 0 K = -0.2481 eV per atom
E = -0.492 Ry/atom